(1)
AcU2Se4, relaxed, DFT GGA-PBE; space group = Cmcm; DOS at the Fermi energy = 12.4 states/eV/f.u.; raw formation energy = -1.35 eV per atom; crystal system = orthorhombic
1.0
-0.117 -3.937 1.500
5.797 3.006 2.421
-7.053 4.510 11.286
Se U Ac
8 4 2
direct
0.232 0.464 0.877
0.500 0.000 0.500
0.500 0.000 0.000
0.768 0.536 0.377
0.232 0.464 0.623
0.058 0.115 0.250
0.942 0.885 0.750
0.768 0.536 0.123
0.133 0.266 0.059
0.867 0.734 0.941
0.133 0.266 0.441
0.867 0.734 0.559
0.385 0.771 0.250
0.615 0.229 0.750

***

(2)
ZrSc2TiSe, relaxed, DFT GGA-PBE; space group = P4/mmm; DOS at the Fermi energy = 9.3 states/eV/f.u.; raw formation energy = 0.78 eV per atom; crystal system = tetragonal
1.0
5.157 0.000 0.000
0.000 5.002 0.000
0.000 0.000 5.157
Zr Sc Se Ti
1 2 1 1
direct
0.000 0.000 0.000
0.000 0.000 0.500
0.500 0.000 0.000
0.000 0.500 0.000
0.500 0.500 0.500

***

Question: What is the formula in the first record?
Answer: AcU2Se4